{"formula": "PSe4I", "functional": "PBE", "state": "relaxed", "lattice": [[-5.8153, 1.0961, 4.9140], [-1.8948, -4.9624, -1.1355], [7.4429, -5.3067, 3.9716]], "species": ["P", "P", "Se", "Se", "Se", "Se", "Se", "Se", "Se", "Se", "I", "I"], "fractional_positions": [[0.5000, 0.0000, 0.5000], [0.0000, 0.5000, 0.5000], [0.5687, 0.1172, 0.7551], [0.8136, 0.3828, 0.2449], [0.4313, 0.8828, 0.2449], [0.1864, 0.6172, 0.7551], [0.8360, 0.7271, 0.6396], [0.1964, 0.7729, 0.3604], [0.1640, 0.2729, 0.3604], [0.8036, 0.2271, 0.6396], [0.7246, 0.7500, 0.0000], [0.2754, 0.2500, 0.0000]], "dos_ef_per_ev_cell": 7.3, "spacegroup": "No. 15", "e_form_raw_ev_per_atom": 0.260, "e_tot_ev_per_cell": -38.68}